<A>
Below is a relaxed YPWCl2 crystal, with properties calculated at the PBE level.

Lattice parameters (Å, degrees): 5.019 5.019 5.756 90.00 90.00 90.00
Fractional coordinates of all 5 atoms:
Cl1 0.500 0.000 0.000
Cl2 0.000 0.500 0.000
P1 0.000 0.000 0.500
W1 0.500 0.500 0.500
Y1 0.000 0.000 0.000

**Total magnetization**: 4.00 μB/f.u.

=====

<B>
Below is a relaxed YPWCl2 crystal, with properties calculated at the PBE level.

Lattice parameters (Å, degrees): 4.746 4.746 4.822 90.00 90.00 90.00
Fractional coordinates of all 5 atoms:
Y1 0.500 0.500 0.500
W1 0.000 0.000 0.000
Cl1 0.500 0.000 0.000
Cl2 0.000 0.500 0.000
P1 0.000 0.000 0.500

**Total magnetization**: 0.01 μB/f.u.

=====

Tell me which of them is the most stable. Sure, it is <B>.

=====

<A>
Below is a relaxed ZnP2WCl crystal, with properties calculated at the PBE level.

Lattice parameters (Å, degrees): 4.549 4.549 4.726 90.00 90.00 90.00
Fractional coordinates of all 5 atoms:
Cl1 0.000 0.000 0.500
Zn1 0.000 0.000 0.000
P1 0.000 0.500 0.000
P2 0.500 0.000 0.000
W1 0.500 0.500 0.500

**Total magnetization**: 2.74 μB/f.u.

=====

<B>
Below is a relaxed ZnP2WCl crystal, with properties calculated at the PBE level.

Lattice parameters (Å, degrees): 4.696 4.696 4.973 90.00 90.00 90.00
Fractional coordinates of all 5 atoms:
P1 0.000 0.500 0.000
P2 0.500 0.000 0.000
Cl1 0.000 0.000 0.500
Zn1 0.500 0.500 0.500
W1 0.000 0.000 0.000

**Total magnetization**: 0.00 μB/f.u.

=====

Tell me which of them is the most stable. Sure, it is <B>.

=====

<A>
Below is a relaxed YPCl2 crystal, with properties calculated at the PBE level.

Lattice parameters (Å, degrees): 3.264 3.263 9.775 90.00 90.00 90.00
Fractional coordinates of all 4 atoms:
Cl1 0.000 0.000 0.587
Cl2 0.000 0.000 0.913
P1 0.500 0.500 0.250
Y1 0.500 0.500 0.750

**Total magnetization**: 0.79 μB/f.u.

=====

<B>
Below is a relaxed YPCl2 crystal, with properties calculated at the PBE level.

Lattice parameters (Å, degrees): 4.376 4.376 9.838 77.15 77.15 90.00
Fractional coordinates of all 8 atoms:
Cl1 0.375 0.370 0.750
Cl2 0.630 0.125 0.250
Cl3 0.120 0.625 0.250
Cl4 0.875 0.880 0.750
P1 0.500 0.500 0.000
P2 0.250 0.750 0.500
Y1 0.000 0.000 0.000
Y2 0.750 0.250 0.500

**Total magnetization**: 0.00 μB/f.u.

=====

Tell me which of them is the most stable. Sure, it is <B>.